KTa3Nb: optimized geometry, PBE.

Lattice parameters (Å, degrees): 4.624 4.624 4.624 90.00 90.00 90.00
Element x y z (fractional)
1 Nb 0.500 0.500 0.500
2 K 0.000 0.000 0.000
3 Ta 0.000 0.500 0.000
4 Ta 0.000 0.000 0.500
5 Ta 0.500 0.000 0.000

- Energy: -32.62 eV/cell
- SG: Pm-3m
- Energy relative to the elements: 272.2 kJ/mol of atoms